(P)
A relaxed structure of HfAgAu3. Source: Alexandria, functional PBE-GGA.

a = 13.7467 Å, b = 4.8937 Å, c = 5.7119 Å
α = 90.00°, β = 93.43°, γ = 90.00°
With the nearest neighbours (Å) after each atom.
Space group C2/m (No. 12)
One atom of each set of equivalent atoms:
1 Hf 0.1095 0.0000 0.1527 (multiplicity 4)  8 Au 2.77-2.99, 1 Ag 3.00
2 Ag 0.1933 0.5000 0.5939 (multiplicity 4)  6 Au 2.82-3.12, 1 Hf 3.00, 2 Ag 3.12
3 Au 0.0209 0.5000 0.2533 (multiplicity 4)  2 Hf 2.81, 5 Au 2.88-2.92, 2 Ag 2.97-3.12
4 Au 0.0821 0.0000 0.6682 (multiplicity 4)  3 Hf 2.77-2.99, 4 Au 2.87-2.95, 2 Ag 2.93
5 Au 0.2187 0.5000 0.1067 (multiplicity 4)  2 Ag 2.82-2.93, 3 Hf 2.86-2.89, 4 Au 2.89-2.95

Properties
For the density of states at the Fermi level, the calculation gives 7.4 states/eV/cell. The density comes out at 15.19 g/cm³.

***

(Q)
A relaxed structure of HfAgAu3. Source: Alexandria, functional PBE-GGA.

a = 5.3346 Å, b = 14.8967 Å, c = 5.1264 Å
α = 90.00°, β = 90.00°, γ = 90.00°
With the nearest neighbours (Å) after each atom.
Space group Cmcm (No. 63)
One atom of each set of equivalent atoms:
1 Hf 0.0000 0.1826 0.2500 (multiplicity 4)  8 Au 2.76-3.01
2 Ag 0.0000 0.4249 0.7500 (multiplicity 4)  2 Hf 3.11, 8 Au 3.11-3.16, 2 Ag 3.40
3 Au 0.0000 0.0000 0.0000 (multiplicity 4)  2 Au 2.56
4 Au 0.2471 0.3457 0.2500 (multiplicity 8)  2 Au 2.64-2.70, 3 Hf 2.76-2.93

Properties
For the density of states at the Fermi level, the calculation gives 9.8 states/eV/cell. The density comes out at 14.30 g/cm³.

***

Most stable: (P). Least stable: (Q).

***

(P)
A relaxed structure of HfAgAu4. Source: Alexandria, functional PBE-GGA.

a = 5.0224 Å, b = 8.7772 Å, c = 5.0530 Å
α = 90.00°, β = 96.42°, γ = 90.00°
With the nearest neighbours (Å) after each atom.
Space group C2/m (No. 12)
One atom of each set of equivalent atoms:
1 Hf 0.0000 0.0000 0.0000 (multiplicity 2)  10 Au 2.91-2.92
2 Ag 0.0000 0.5000 0.5000 (multiplicity 2)  10 Au 2.89-2.95
3 Au 0.0000 0.1634 0.5000 (multiplicity 4)  5 Au 2.87-2.94, 3 Ag 2.89-2.95, 2 Hf 2.91
4 Au 0.0000 0.3332 0.0000 (multiplicity 4)  5 Au 2.91-2.93, 3 Hf 2.91-2.92, 2 Ag 2.92

Properties
For the density of states at the Fermi level, the calculation gives 7.0 states/eV/cell. The density comes out at 16.12 g/cm³.

***

(Q)
A relaxed structure of HfAgAu4. Source: Alexandria, functional PBE-GGA.

a = 4.5021 Å, b = 4.5021 Å, c = 6.5104 Å
α = 90.00°, β = 90.00°, γ = 90.00°
With the nearest neighbours (Å) after each atom.
Space group P4/mmm (No. 123)
One atom of each set of equivalent atoms:
1 Hf 0.0000 0.0000 0.0000 (multiplicity 1)  8 Au 2.78
2 Ag 0.5000 0.5000 0.5000 (multiplicity 1)  8 Au 2.78
3 Au 0.0000 0.5000 0.2495 (multiplicity 4)  2 Hf 2.78, 2 Ag 2.78

Properties
For the density of states at the Fermi level, the calculation gives 3.2 states/eV/cell. The density comes out at 13.52 g/cm³.

***

Most stable: (P). Least stable: (Q).

***

(P)
A relaxed structure of HfAgAu. Source: Alexandria, functional PBE-GGA.

a = 3.4726 Å, b = 3.4726 Å, c = 9.5110 Å
α = 90.00°, β = 90.00°, γ = 90.00°
With the nearest neighbours (Å) after each atom.
Space group P4/nmm (No. 129, origin choice 2)
One atom of each set of equivalent atoms:
1 Hf 0.2500 0.2500 0.0989 (multiplicity 2)  4 Au 2.86, 1 Ag 3.09, 4 Hf 3.09
2 Ag 0.2500 0.2500 0.4236 (multiplicity 2)  4 Ag 2.85, 5 Au 2.94-3.07, 1 Hf 3.09
3 Au 0.2500 0.2500 0.7460 (multiplicity 2)  4 Hf 2.86, 5 Ag 2.94-3.07

Properties
For the density of states at the Fermi level, the calculation gives 3.7 states/eV/cell. The density comes out at 14.00 g/cm³.

***

(Q)
A relaxed structure of HfAgAu. Source: Alexandria, functional PBE-GGA.

a = 3.5641 Å, b = 3.5641 Å, c = 8.8573 Å
α = 90.00°, β = 90.00°, γ = 90.00°
With the nearest neighbours (Å) after each atom.
Space group I4mm (No. 107)
One atom of each set of equivalent atoms:
1 Hf 0.0000 0.0000 0.0000 (multiplicity 2)  5 Ag 2.91-2.94, 5 Au 2.91-2.97
2 Ag 0.0000 0.0000 0.3280 (multiplicity 2)  5 Hf 2.91-2.94, 5 Au 2.91-2.98
3 Au 0.0000 0.0000 0.6644 (multiplicity 2)  5 Ag 2.91-2.98, 5 Hf 2.91-2.97

Properties
For the density of states at the Fermi level, the calculation gives 3.0 states/eV/cell. The density comes out at 14.27 g/cm³.

***

(R)
A relaxed structure of HfAgAu. Source: Alexandria, functional PBE-GGA.

a = 4.7236 Å, b = 4.7236 Å, c = 2.9010 Å
α = 90.00°, β = 90.00°, γ = 120.00°
With the nearest neighbours (Å) after each atom.
Space group P-6m2 (No. 187)
One atom of each set of equivalent atoms:
1 Hf 0.0000 0.0000 0.0000 (multiplicity 1)  2 Hf 2.90, 6 Au 3.09, 6 Ag 3.09
2 Ag 0.6667 0.3333 0.5000 (multiplicity 1)  3 Au 2.73, 2 Ag 2.90
3 Au 0.3333 0.6667 0.5000 (multiplicity 1)  3 Ag 2.73, 2 Au 2.90

Properties
For the density of states at the Fermi level, the calculation gives 2.0 states/eV/cell. The density comes out at 14.32 g/cm³.

***

Most stable: (P). Least stable: (R).

***

(P)
A relaxed structure of HfZrAgAu. Source: Alexandria, functional PBE-GGA.

a = 3.4994 Å, b = 3.4994 Å, c = 6.5181 Å
α = 90.00°, β = 90.00°, γ = 90.00°
With the nearest neighbours (Å) after each atom.
Space group P4mm (No. 99)
One atom of each set of equivalent atoms:
1 Hf 0.0000 0.0000 0.0000 (multiplicity 1)  4 Au 2.87, 1 Ag 3.04, 4 Zr 3.11
2 Zr 0.5000 0.5000 0.7105 (multiplicity 1)  4 Ag 2.94, 4 Hf 3.11, 1 Au 3.17
3 Ag 0.0000 0.0000 0.4671 (multiplicity 1)  4 Au 2.94, 4 Zr 2.94, 1 Hf 3.04
4 Au 0.5000 0.5000 0.2242 (multiplicity 1)  4 Hf 2.87, 4 Ag 2.94, 1 Zr 3.17

Properties
For the density of states at the Fermi level, the calculation gives 2.4 states/eV/cell. The density comes out at 11.95 g/cm³.

***

(Q)
A relaxed structure of HfZrAgAu. Source: Alexandria, functional PBE-GGA.

a = 6.8421 Å, b = 6.8421 Å, c = 6.8421 Å
α = 90.00°, β = 90.00°, γ = 90.00°
With the nearest neighbours (Å) after each atom.
Space group F-43m (No. 216)
One atom of each set of equivalent atoms:
1 Hf 0.0000 0.0000 0.0000 (multiplicity 4)  4 Au 2.96, 4 Ag 2.96
2 Zr 0.0000 0.0000 0.5000 (multiplicity 4)  4 Ag 2.96, 4 Au 2.96
3 Ag 0.2500 0.2500 0.7500 (multiplicity 4)  4 Zr 2.96, 4 Hf 2.96
4 Au 0.2500 0.2500 0.2500 (multiplicity 4)  4 Zr 2.96, 4 Hf 2.96

Properties
For the density of states at the Fermi level, the calculation gives 21.5 states/eV/cell. The density comes out at 11.91 g/cm³.

***

Most stable: (P). Least stable: (Q).

***

(P)
A relaxed structure of Ag2Hg2Au5. Source: Alexandria, functional PBE-GGA.

a = 5.1552 Å, b = 5.3501 Å, c = 7.0180 Å
α = 71.64°, β = 72.39°, γ = 86.20°
With the nearest neighbours (Å) after each atom.
Space group P-1 (No. 2)
One atom of each set of equivalent atoms:
1 Ag 0.1795 0.0791 0.2781 (multiplicity 2)  8 Au 2.87-3.14, 1 Ag 2.98, 3 Hg 3.03-3.09
2 Hg 0.2652 0.1865 0.8130 (multiplicity 2)  7 Au 2.86-3.02, 3 Ag 3.03-3.09
3 Au 0.0000 0.5000 0.5000 (multiplicity 1)  4 Au 2.80-2.88, 2 Hg 2.95, 4 Ag 3.06-3.07
4 Au 0.2868 0.6508 0.0706 (multiplicity 2)  3 Au 2.76-2.91, 3 Hg 2.87-2.93, 2 Ag 2.95-3.02
5 Au 0.3780 0.7399 0.6245 (multiplicity 2)  3 Hg 2.86-3.02, 3 Ag 2.87-2.95, 3 Au 2.88-2.91

Properties
For the density of states at the Fermi level, the calculation gives 2.2 states/eV/cell. The density comes out at 15.20 g/cm³.

***

(Q)
A relaxed structure of Ag2Hg2Au5. Source: Alexandria, functional PBE-GGA.

a = 12.8509 Å, b = 4.2631 Å, c = 6.5745 Å
α = 90.00°, β = 109.26°, γ = 90.00°
With the nearest neighbours (Å) after each atom.
Space group C2/m (No. 12)
One atom of each set of equivalent atoms:
1 Ag 0.2211 0.0000 0.3402 (multiplicity 4)  2 Ag 2.91, 7 Au 2.91-3.04, 3 Hg 3.00-3.08
2 Hg 0.1627 0.5000 0.0009 (multiplicity 4)  7 Au 2.97-3.02, 3 Ag 3.00-3.08, 2 Hg 3.10
3 Au 0.0000 0.0000 0.0000 (multiplicity 2)  2 Ag 2.98, 4 Hg 2.98, 6 Au 2.99-3.01
4 Au 0.0585 0.5000 0.3421 (multiplicity 4)  3 Ag 2.91-2.99, 7 Au 2.92-3.03, 2 Hg 2.97-2.99
5 Au 0.1106 0.0000 0.6642 (multiplicity 4)  6 Au 2.92-3.03, 3 Ag 2.92-3.04, 3 Hg 2.99-3.02

Properties
For the density of states at the Fermi level, the calculation gives 4.8 states/eV/cell. The density comes out at 15.64 g/cm³.

***

Most stable: (Q). Least stable: (P).